# LiTaCd

A relaxed structure of LiTaCd (PBE, the Alexandria database).

a = 4.2679 Å, b = 4.2679 Å, c = 4.2679 Å
α = 60.00°, β = 60.00°, γ = 60.00°
With the nearest neighbours (Å) after each atom.
Sites, in units of the cell vectors:
Li: 0.0000 0.0000 0.0000  4 Cd 2.61, 4 Ta 2.61
Ta: 0.2500 0.2500 0.2500  4 Li 2.61
Cd: 0.7500 0.7500 0.7500  4 Li 2.61

Calculated values
The magnetic moment is 0.0 μB per formula unit. For the density of states at the Fermi level, the calculation gives 0.9 states/eV/f.u. Its calculated formation energy is 1003.9 meV/atom.